An optimized crystal structure of Ta2MnO6. Source: Alexandria via LeMat-Bulk, functional PBE with a Hubbard U.

Summary:
Fermi-level density of states: 0.0 states/eV/f.u.
Total DFT energy (no corrections): -9.407 eV/atom
Distance to the lowest polymorph of the same formula: 0.0 kJ per mole of atoms

a b c (Å): 5.143 5.869 14.601
angles (deg): 90.00 90.00 90.00
Each line ends with the local moment (μB).
Fractional coordinates of all 36 atoms:
Ta1 0.235 0.675 0.163  0.05
Ta2 0.735 0.825 0.337  0.05
Ta3 0.265 0.675 0.837  0.05
Ta4 0.765 0.825 0.663  0.05
Ta5 0.765 0.325 0.837  0.05
Ta6 0.265 0.175 0.663  0.05
Ta7 0.735 0.325 0.163  0.05
Ta8 0.235 0.175 0.337  0.05
Mn1 0.750 0.828 0.000  4.64
Mn2 0.250 0.672 0.500  4.64
Mn3 0.250 0.172 0.000  4.64
Mn4 0.750 0.328 0.500  4.64
O1 0.559 0.599 0.100  0.01
O2 0.059 0.901 0.400  0.01
O3 0.941 0.599 0.900  0.01
O4 0.441 0.901 0.600  0.01
O5 0.441 0.401 0.900  0.01
O6 0.941 0.099 0.600  0.01
O7 0.059 0.401 0.100  0.01
O8 0.559 0.099 0.400  0.01
O9 0.097 0.881 0.082  0.01
O10 0.597 0.619 0.418  0.01
O11 0.403 0.881 0.918  0.01
O12 0.903 0.619 0.582  0.01
O13 0.903 0.119 0.918  0.01
O14 0.403 0.381 0.582  0.01
O15 0.597 0.119 0.082  0.01
O16 0.097 0.381 0.418  0.01
O17 0.410 0.870 0.256  0.00
O18 0.910 0.630 0.244  0.00
O19 0.090 0.870 0.744  0.00
O20 0.590 0.630 0.756  0.00
O21 0.590 0.130 0.744  0.00
O22 0.090 0.370 0.756  0.00
O23 0.910 0.130 0.256  0.00
O24 0.410 0.370 0.244  0.00